GGA+U LiVF2, optimized geometry; relative energy among the computed polymorphs = 140.7 meV per atom; space-group type = I-42d (122)
1.0
4.9272 0.0000 0.0000
0.0000 4.9272 0.0000
2.4636 2.4636 4.3967
F Li V
4 2 2
Direct
0.5684 0.1250 0.2500
0.1816 0.6250 0.2500
0.8750 0.8184 0.7500
0.3750 0.4316 0.7500
0.5000 0.5000 0.0000
0.2500 0.7500 0.5000
0.0000 0.0000 0.0000
0.7500 0.2500 0.5000